The following is a DFT calculation (GGA+U) of a relaxed InCoF2 crystal.

Computed properties:
Calculated total energy, eV per atom: -3.67
E above lowest polymorph, eV/atom: 0.5853
V, Å³ per cell: 242.84
Magnetic moment, μB/cell: 9.82

Lattice parameters (Å, degrees): 6.2389 6.2389 6.2389 90.00 90.00 90.00
Closest atoms and distances in Å follow each position.
Space group Fm-3m (No. 225)
Inequivalent atoms, fractional coordinates:
In: 0.0000 0.0000 0.0000 x4  8 F 2.70
Co: 0.0000 0.0000 0.5000 x4  8 F 2.70
F: 0.2500 0.2500 0.2500 x8  4 In 2.70, 4 Co 2.70